A PBEsol-optimized structure of RePbSe2, computed with meta-GGA SCAN. Values from VASP.

```
&SYSTEM
  ibrav = 0, nat = 4, ntyp = 3
/
ATOMIC_SPECIES
Pb 207.20 Pb.upf
Re 186.21 Re.upf
Se 78.96 Se.upf
ATOMIC_POSITIONS angstrom
Pb 1.6865 2.2145 0.0000
Re 0.0000 2.2145 2.6191
Se 0.0000 0.0000 0.0000
Se 1.6865 0.0000 2.6191
CELL_PARAMETERS angstrom
3.3730 0.0000 0.0000
0.0000 4.4289 0.0000
0.0000 0.0000 5.2383
```

Its total energy is -45.663 eV/atom. The value obtained for the size of the total moment is 1.86 Bohr magnetons per cell. For the formation energy from raw total energies, the calculation gives 25.26 kcal/mol of atoms.